Density functional theory data (GGA-PBE) for crystalline CeGd3Ni at its relaxed geometry.

The energy relative to the elements is 0.04 eV per atom. The value obtained for the magnetization is 21.39 μB/cell. The symmetry is Pm-3m. The calculated total energy is -10.75 eV per atom.

abc: 5.3712 5.3712 5.3712
angles: 90.00 90.00 90.00
Site moments in Bohr magnetons follow the coordinates.
Atoms (fractional coordinates):
Gd  0.0000  0.0000  0.5000  7.09
Gd  0.5000  0.0000  0.0000  7.09
Gd  0.0000  0.5000  0.0000  7.09
Ce  0.5000  0.5000  0.5000  -0.76
Ni  0.0000  0.0000  0.0000  0.07